Entry 1:
Here is an optimized crystal structure of HfSiPd2Se from Alexandria via LeMat-Bulk. Energies are from PBEsol.

POSCAR file:
```
HfSiPd2Se
1.0
4.398 0.000 0.000
0.000 4.398 0.000
0.000 0.000 5.009
Pd Hf Se Si
2 1 1 1
Direct
0.000 0.500 0.000
0.500 0.000 0.000
0.000 0.000 0.500
0.500 0.500 0.500
0.000 0.000 0.000
```

Calculated values
* total magnetic moment: 0.00 μB/f.u.
* formation energy without anion corrections: 0.06 eV/atom
* space group: P4/mmm, No. 123
* uncorrected energy: -31.7 eV/cell



Entry 2:
Here is an optimized crystal structure of HfSn3Pd from Alexandria via LeMat-Bulk. Energies are from PBEsol.

POSCAR file:
```
HfSn3Pd
1.0
5.364 0.000 0.000
0.000 5.364 0.000
0.000 0.000 5.364
Sn Pd Hf
3 1 1
Direct
0.000 0.500 0.000
0.000 0.000 0.500
0.500 0.000 0.000
0.500 0.500 0.500
0.000 0.000 0.000
```

Calculated values
* total magnetic moment: 0.00 μB/f.u.
* space group: Pm-3m, No. 221
* DFT formation energy: 3.854 eV per formula unit
* uncorrected energy: -25.4 eV/cell



Entry 3:
Here is an optimized crystal structure of HfSnPd3 from Alexandria via LeMat-Bulk. Energies are from PBEsol.

POSCAR file:
```
HfSnPd3
1.0
4.831 0.000 0.000
0.000 4.831 0.000
0.000 0.000 4.831
Pd Hf Sn
3 1 1
Direct
0.000 0.500 0.000
0.500 0.000 0.000
0.000 0.000 0.500
0.000 0.000 0.000
0.500 0.500 0.500
```

Calculated values
* total magnetic moment: 0.00 μB/f.u.
* space group: Pm-3m, No. 221
* DFT formation energy: 2.425 eV per formula unit
* uncorrected energy: -30.2 eV/cell



Which formula does entry 3 have?
HfSnPd3



What is the uncorrected energy in the first record?
-31.7 eV/cell



Which of these has the lowest uncorrected energy?
HfSiPd2Se